! Cs2NpSe2Br4 PBE optimized geometry; values from VASP
! N(E_F), states/eV/f.u.: 5.7
! ΔE_f (raw), eV/atom: -1.228
! Space group: C2/m
&SYSTEM
  ibrav = 0, nat = 9, ntyp = 4
/
ATOMIC_SPECIES
Br 79.90 Br.upf
Se 78.96 Se.upf
Np 237.00 Np.upf
Cs 132.91 Cs.upf
CELL_PARAMETERS angstrom
-1.728 -6.036 2.011
7.500 -2.166 0.279
4.012 0.950 6.634
ATOMIC_POSITIONS angstrom
Br 3.452 -1.330 5.001
Se 1.280 -1.831 1.600
Br 5.200 -2.891 1.816
Np -0.864 -3.018 1.006
Cs 2.520 -4.931 3.800
Br 6.332 -5.922 3.923
Br 4.584 -4.361 7.108
Se 8.505 -5.421 7.324
Cs 7.264 -2.321 5.124